ZnNiPdO4: optimized geometry, GGA+U.

Results
Its size of the total moment is 0.283 μB/atom. As for the electronic total energy: -5.042 eV/atom.

The structure in POSCAR format:
```
ZnNiPdO4
1.0
5.9417 0.0000 0.0000
2.9709 5.2919 0.0743
2.9709 1.6829 5.0178
Zn Ni Pd O
2 2 2 8
Direct
0.6459 0.6041 0.1041
0.3541 0.3959 0.8959
0.5000 0.0000 0.5000
0.0000 0.0000 0.5000
0.0000 0.0000 0.0000
0.0000 0.5000 0.5000
0.7646 0.7568 0.7140
0.2354 0.7860 0.7432
0.7646 0.2140 0.2568
0.2354 0.2432 0.2860
0.2250 0.7544 0.2544
0.7662 0.7544 0.2544
0.2338 0.2456 0.7456
0.7750 0.2456 0.7456
```